No. 1
Computed, not measured: a relaxed CoSb2TeRu crystal at the PBE level of DFT.

Unit cell a=4.978 b=4.978 c=5.519 alpha=90.00 beta=90.00 gamma=90.00
Atoms (fractional coordinates):
Co: 0.000 0.000 0.000
Sb: 0.000 0.500 0.500
Sb: 0.500 0.000 0.500
Te: 0.500 0.500 0.000
Ru: 0.500 0.500 0.500

Values from the calculation:
offset from the most stable computed form	97	meV/atom
raw formation energy	4.60	eV per formula unit
N(E_F)	7.096	states/eV per cell
total magnetic moment	0.3601	μB/atom


No. 2
Computed, not measured: a relaxed TiCoSbRu2 crystal at the PBE level of DFT.

Unit cell a=4.562 b=4.562 c=4.353 alpha=90.00 beta=90.00 gamma=90.00
Atoms (fractional coordinates):
Ti: 0.000 0.000 0.000
Co: 0.000 0.000 0.500
Sb: 0.500 0.500 0.500
Ru: 0.000 0.500 0.000
Ru: 0.500 0.000 0.000

Values from the calculation:
raw formation energy	4.62	eV per formula unit
N(E_F)	5.449	states/eV per cell
total magnetic moment	0.2992	μB/atom


No. 3
Computed, not measured: a relaxed TiCoSbRu crystal at the PBE level of DFT.

Unit cell a=4.402 b=4.402 c=4.402 alpha=60.00 beta=60.00 gamma=60.00
Atoms (fractional coordinates):
Ti: 0.000 0.000 0.000
Co: 0.750 0.750 0.750
Sb: 0.500 0.500 0.500
Ru: 0.250 0.250 0.250

Values from the calculation:
raw formation energy	-1.43	eV per formula unit
N(E_F)	0.405	states/eV per cell
total magnetic moment	0.5015	μB/atom


No. 4
Computed, not measured: a relaxed TmCoSbRu crystal at the PBE level of DFT.

Unit cell a=4.576 b=4.576 c=4.576 alpha=60.00 beta=60.00 gamma=60.00
Atoms (fractional coordinates):
Tm: 0.000 0.000 0.000
Co: 0.750 0.750 0.750
Sb: 0.500 0.500 0.500
Ru: 0.250 0.250 0.250

Values from the calculation:
raw formation energy	-1.38	eV per formula unit
N(E_F)	1.113	states/eV per cell
total magnetic moment	0.2595	μB/atom


No. 5
Computed, not measured: a relaxed ZnCoSbRu crystal at the PBE level of DFT.

Unit cell a=4.349 b=4.349 c=4.349 alpha=60.00 beta=60.00 gamma=60.00
Atoms (fractional coordinates):
Zn: 0.000 0.000 0.000
Co: 0.250 0.250 0.250
Sb: 0.500 0.500 0.500
Ru: 0.750 0.750 0.750

Values from the calculation:
raw formation energy	-0.07	eV per formula unit
N(E_F)	1.765	states/eV per cell
total magnetic moment	0.0002	μB/atom


No. 6
Computed, not measured: a relaxed Sc6CoRu5 crystal at the PBE level of DFT.

Unit cell a=7.818 b=7.818 c=7.818 alpha=146.32 beta=131.60 gamma=60.25
Atoms (fractional coordinates):
Sc: 0.083 0.334 0.749
Sc: 0.249 0.000 0.249
Sc: 0.416 0.666 0.749
Sc: 0.584 0.334 0.251
Sc: 0.751 0.000 0.751
Sc: 0.917 0.666 0.251
Co: 0.000 0.500 0.500
Ru: 0.165 0.165 0.000
Ru: 0.334 0.834 0.500
Ru: 0.500 0.500 0.000
Ru: 0.666 0.166 0.500
Ru: 0.835 0.835 0.000

Values from the calculation:
formation energy	-513	meV per atom
N(E_F)	13.728	states/eV per cell
total magnetic moment	0.0001	μB/atom